(1)
# LiCo2Os

A geometry-optimized LiCo2Os structure (GGA-PBE, Alexandria via LeMat-Bulk).

Lattice parameters (Å, degrees): 4.4421 4.4421 4.4421 133.33 133.33 68.14
With the nearest neighbours (Å) after each atom.
Sites, in units of the cell vectors:
Co  0.0000  0.0000  0.0000  4 Li 2.49, 4 Co 2.55, 4 Os 2.55
Co  0.2500  0.7500  0.5000  4 Os 2.49, 4 Co 2.55, 4 Li 2.55
Li  0.5000  0.5000  0.0000  8 Co 2.49-2.55, 4 Os 2.55
Os  0.7500  0.2500  0.5000  8 Co 2.49-2.55, 4 Li 2.55

Calculated values
* energy relative to the lowest polymorph listed for this composition: 128 meV per atom
* crystal system: tetragonal
* calculated density: 11.48 Mg/m³
* symmetry: I-4m2

(2)
# LiCoOs

A geometry-optimized LiCoOs structure (GGA-PBE, Alexandria via LeMat-Bulk).

Lattice parameters (Å, degrees): 6.7556 3.7425 6.7068 90.00 90.00 90.00
With the nearest neighbours (Å) after each atom.
Sites, in units of the cell vectors:
Co  0.7773  0.2500  0.3420  4 Os 2.28-2.47
Co  0.7227  0.7500  0.8420  4 Os 2.28-2.47
Co  0.2227  0.7500  0.6580  4 Os 2.28-2.47
Co  0.2773  0.2500  0.1580  4 Os 2.28-2.47
Os  0.1240  0.2500  0.4605  4 Co 2.28-2.47
Os  0.3760  0.7500  0.9605  4 Co 2.28-2.47
Os  0.8760  0.7500  0.5395  4 Co 2.28-2.47
Os  0.6240  0.2500  0.0395  4 Co 2.28-2.47
Li  0.0162  0.2500  0.8549  5 Co 2.68-2.73, 2 Li 2.71, 4 Os 2.74-2.98
Li  0.4838  0.7500  0.3549  5 Co 2.68-2.73, 2 Li 2.71, 4 Os 2.74-2.98
Li  0.9838  0.7500  0.1451  5 Co 2.68-2.73, 2 Li 2.71, 4 Os 2.74-2.98
Li  0.5162  0.2500  0.6451  5 Co 2.68-2.73, 2 Li 2.71, 4 Os 2.74-2.98

Calculated values
* energy relative to the lowest polymorph listed for this composition: 212 meV per atom
* crystal system: orthorhombic
* calculated density: 10.03 Mg/m³
* symmetry: Pnma

(3)
# LiCo2Os

A geometry-optimized LiCo2Os structure (GGA-PBE, Alexandria via LeMat-Bulk).

Lattice parameters (Å, degrees): 2.5730 4.2888 4.3507 90.00 90.00 90.00
With the nearest neighbours (Å) after each atom.
Sites, in units of the cell vectors:
Co  0.0000  0.0000  0.0000  6 Co 2.50-2.57, 4 Li 2.53
Co  0.5000  0.5000  0.0000  6 Co 2.50-2.57, 4 Os 2.53
Li  0.5000  0.0000  0.5000  4 Os 2.50, 4 Co 2.53, 2 Li 2.57
Os  0.0000  0.5000  0.5000  4 Li 2.50, 4 Co 2.53, 2 Os 2.57

Calculated values
* energy relative to the lowest polymorph listed for this composition: 173 meV per atom
* crystal system: orthorhombic
* calculated density: 10.90 Mg/m³
* symmetry: Pmmm

(4)
# LiCoOs2

A geometry-optimized LiCoOs2 structure (GGA-PBE, Alexandria via LeMat-Bulk).

Lattice parameters (Å, degrees): 3.9943 2.6179 4.9473 74.65 90.00 90.00
With the nearest neighbours (Å) after each atom.
Sites, in units of the cell vectors:
Co  0.0000  0.6766  0.5235  2 Li 2.23
Li  0.5000  0.5707  0.7334  2 Co 2.23, 1 Os 2.45
Os  0.0000  0.9390  0.9955  3 Co 2.52-2.61, 6 Os 2.62-2.67, 4 Li 2.69-2.70
Os  0.5000  0.3137  0.2477  3 Li 2.45-2.66, 6 Os 2.62-2.67, 4 Co 2.73

Calculated values
* energy relative to the lowest polymorph listed for this composition: 36 meV per atom
* crystal system: orthorhombic
* calculated density: 14.86 Mg/m³
* symmetry: Amm2

(5)
# LiCo2Os

A geometry-optimized LiCo2Os structure (GGA-PBE, Alexandria via LeMat-Bulk).

Lattice parameters (Å, degrees): 4.6753 4.6753 4.3801 72.62 72.62 31.84
With the nearest neighbours (Å) after each atom.
Sites, in units of the cell vectors:
Co  0.9847  0.9847  0.9481  4 Co 2.42-2.56, 3 Os 2.46-2.53, 4 Li 2.52-2.58
Co  0.2718  0.2718  0.2992  4 Co 2.42-2.56, 3 Li 2.43-2.56, 4 Os 2.52-2.60
Li  0.5130  0.5130  0.4382  7 Co 2.43-2.58, 2 Li 2.56
Os  0.7305  0.7305  0.8145  7 Co 2.46-2.60, 2 Os 2.56

Calculated values
* energy relative to the lowest polymorph listed for this composition: 0 meV per atom
* crystal system: monoclinic
* calculated density: 10.90 Mg/m³
* symmetry: Cm

(6)
# LiCoOs2

A geometry-optimized LiCoOs2 structure (GGA-PBE, Alexandria via LeMat-Bulk).

Lattice parameters (Å, degrees): 4.1743 4.1743 4.1743 60.00 60.00 60.00
With the nearest neighbours (Å) after each atom.
Sites, in units of the cell vectors:
Co  0.5000  0.5000  0.5000  4 Li 2.56, 4 Os 2.56
Li  0.2500  0.2500  0.2500  4 Os 2.56, 4 Co 2.56
Os  0.0000  0.0000  0.0000  4 Os 2.56, 4 Li 2.56
Os  0.7500  0.7500  0.7500  4 Os 2.56, 4 Co 2.56

Calculated values
* energy relative to the lowest polymorph listed for this composition: 4 meV per atom
* crystal system: cubic
* calculated density: 14.41 Mg/m³
* symmetry: F-43m

Number 1: energy -6.55 eV per atom, spin magnetization 0.44 μB per formula unit. Number 2: energy -6.43 eV per atom, spin magnetization 0.00 μB per formula unit. Number 3: energy -6.51 eV per atom, spin magnetization 3.48 μB per formula unit. Number 4: energy -7.64 eV per atom, spin magnetization 0.00 μB per formula unit. Number 5: energy -6.68 eV per atom, spin magnetization 1.86 μB per formula unit. Number 6: energy -7.67 eV per atom, spin magnetization 1.83 μB per formula unit.